## LiY2C (GGA-PBE)

Data for an optimized crystal structure of LiY2C.

Cell lengths 7.1874, 7.1874, 6.2758 Å; angles 55.07, 55.07, 90.00 degrees
Fractional positions:
Y (0.7112, 0.1250, 0.2500)
Y (0.0388, 0.6250, 0.2500)
Y (0.3750, 0.2888, 0.7500)
Y (0.8750, 0.9612, 0.7500)
C (0.0000, 0.0000, 0.0000)
C (0.7500, 0.2500, 0.5000)
Li (0.5000, 0.5000, 0.0000)
Li (0.2500, 0.7500, 0.5000)

Output
* space group: I-42d (122)
* energy of formation: 0.148 eV per atom

***

## LiY8C4 (GGA-PBE)

Data for an optimized crystal structure of LiY8C4.

Cell lengths 3.6286, 9.2100, 9.2269 Å; angles 87.41, 78.66, 78.64 degrees
Fractional positions:
Li (0.5157, 0.0019, 0.9667)
Y (0.1741, 0.3002, 0.3515)
Y (0.5588, 0.6214, 0.2611)
Y (0.4727, 0.3819, 0.6727)
Y (0.8573, 0.7032, 0.5823)
Y (0.8631, 0.9651, 0.3087)
Y (0.2069, 0.6599, 0.9263)
Y (0.1683, 0.0382, 0.6251)
Y (0.8245, 0.3435, 0.0075)
C (0.3610, 0.8336, 0.4445)
C (0.8398, 0.5220, 0.7984)
C (0.1916, 0.4814, 0.1354)
C (0.6705, 0.1698, 0.4892)

Output
* space group: C2/m (12)
* energy of formation: -0.202 eV per atom